Entry from Alexandria: crystalline PrSm2Au3 at its relaxed geometry (PBE).

```
12
Lattice="-3.811 5.479 4.535 3.811 -5.479 4.535 3.811 5.479 -4.535" Properties=species:S:1:pos:R:3 pbc="T T T"
Pr 0.000 2.739 0.307
Pr 3.811 2.739 4.228
Sm 3.811 -0.472 1.860
Sm 3.811 5.007 -1.860
Sm 0.000 0.472 6.395
Sm 0.000 5.950 2.674
Au 1.905 2.739 -2.267
Au 1.490 0.000 0.000
Au 1.905 -2.739 2.267
Au 6.131 0.000 0.000
Au 1.490 5.479 0.000
Au 2.321 0.000 4.535
```

Properties
DFT formation energy: -529 meV per atom
magnetic moment: 0.0 μB/f.u.
crystal system: orthorhombic
symmetry: Imma, No. 74



Entry from Alexandria: crystalline YTmSnPb at its relaxed geometry (PBE).

```
16
Lattice="7.614 0.000 0.000 0.000 7.614 0.000 0.000 0.000 7.614" Properties=species:S:1:pos:R:3 pbc="T T T"
Y 0.000 0.000 0.000
Y 0.000 3.807 3.807
Y 3.807 0.000 3.807
Y 3.807 3.807 0.000
Tm 0.000 0.000 3.807
Tm 0.000 3.807 0.000
Tm 3.807 0.000 0.000
Tm 3.807 3.807 3.807
Sn 1.904 1.904 1.904
Sn 1.904 5.711 5.711
Sn 5.711 1.904 5.711
Sn 5.711 5.711 1.904
Pb 1.904 1.904 5.711
Pb 1.904 5.711 1.904
Pb 5.711 1.904 1.904
Pb 5.711 5.711 5.711
```

Properties
DFT formation energy: -449 meV per atom
magnetic moment: 0.0 μB/f.u.
crystal system: cubic
symmetry: F-43m, No. 216



Entry from Alexandria: crystalline CaVZn2N at its relaxed geometry (PBE).

```
5
Lattice="4.313 0.000 0.000 0.000 4.313 0.000 0.000 0.000 4.615" Properties=species:S:1:pos:R:3 pbc="T T T"
Ca 0.000 0.000 0.000
V 2.157 2.157 0.000
Zn 0.000 2.157 2.307
Zn 2.157 0.000 2.307
N 0.000 0.000 2.307
```

Properties
magnetic moment: 3.7 μB/f.u.
formation energy without anion corrections: 451 meV per atom
crystal system: tetragonal
symmetry: P4/mmm, No. 123



Entry from Alexandria: crystalline CaTeN2O at its relaxed geometry (PBE).

```
5
Lattice="4.397 0.000 0.000 0.000 4.397 0.000 0.000 0.000 6.589" Properties=species:S:1:pos:R:3 pbc="T T T"
Ca 0.000 0.000 0.000
Te 0.000 0.000 3.295
N 0.000 2.199 0.000
N 2.199 0.000 0.000
O 2.199 2.199 3.295
```

Properties
magnetic moment: 5.1 μB/f.u.
formation energy without anion corrections: 1731 meV per atom
crystal system: tetragonal
symmetry: P4/mmm, No. 123



Entry from Alexandria: crystalline HoSc2UO8 at its relaxed geometry (PBE).

```
12
Lattice="3.477 -3.484 0.000 3.477 3.484 0.000 0.000 0.000 6.789" Properties=species:S:1:pos:R:3 pbc="T T T"
Ho 0.000 0.000 0.000
Sc 3.477 0.000 1.641
Sc 3.477 0.000 5.147
U 0.000 0.000 3.394
O 3.477 2.122 1.819
O 3.477 2.122 4.969
O 2.090 0.000 3.394
O 2.209 0.000 0.000
O 4.746 0.000 0.000
O 4.864 0.000 3.394
O 3.477 -2.122 1.819
O 3.477 -2.122 4.969
```

Properties
magnetic moment: 0.6 μB/f.u.
formation energy without anion corrections: -3169 meV per atom
crystal system: orthorhombic
symmetry: Cmmm, No. 65



Entry from Alexandria: crystalline K2CdSnPt at its relaxed geometry (PBE).

```
5
Lattice="6.299 0.000 0.000 0.000 6.299 0.000 0.000 0.000 5.058" Properties=species:S:1:pos:R:3 pbc="T T T"
K 0.000 3.149 0.000
K 3.149 0.000 0.000
Cd 0.000 0.000 2.529
Sn 3.149 3.149 2.529
Pt 3.149 3.149 0.000
```

Properties
DFT formation energy: -87 meV per atom
magnetic moment: 0.0 μB/f.u.
crystal system: tetragonal
symmetry: P4/mmm, No. 123



Entry from Alexandria: crystalline Zr7Bi3H2 at its relaxed geometry (PBE).

```
12
Lattice="2.212 -12.114 0.000 2.212 12.114 0.000 0.000 0.000 4.419" Properties=species:S:1:pos:R:3 pbc="T T T"
Zr 0.000 0.000 0.000
Zr 2.212 9.774 2.209
Zr 2.212 7.233 0.000
Zr 2.212 2.337 0.000
Zr 2.212 -2.337 0.000
Zr 2.212 -7.233 0.000
Zr 2.212 -9.774 2.209
Bi 2.212 4.589 2.209
Bi 2.212 0.000 2.209
Bi 2.212 -4.589 2.209
H 2.212 9.901 0.000
H 2.212 -9.901 0.000
```

Properties
magnetic moment: 0.0 μB/f.u.
total DFT energy (no corrections): -6.857 eV/atom
crystal system: orthorhombic
symmetry: Cmmm, No. 65



Entry from Alexandria: crystalline AcTmPb2 at its relaxed geometry (PBE).

```
16
Lattice="4.896 0.000 0.000 0.000 16.649 0.000 0.000 0.000 6.981" Properties=species:S:1:pos:R:3 pbc="T T T"
Ac 0.000 2.991 1.745
Ac 0.000 13.659 5.236
Ac 2.448 5.334 5.236
Ac 2.448 11.315 1.745
Tm 0.000 7.311 1.745
Tm 0.000 9.338 5.236
Tm 2.448 1.013 5.236
Tm 2.448 15.636 1.745
Pb 0.000 0.000 0.000
Pb 0.000 0.000 3.490
Pb 0.000 3.025 5.236
Pb 0.000 13.624 1.745
Pb 2.448 5.299 1.745
Pb 2.448 8.325 0.000
Pb 2.448 8.325 3.490
Pb 2.448 11.350 5.236
```

Properties
DFT formation energy: -377 meV per atom
magnetic moment: 0.0 μB/f.u.
crystal system: orthorhombic
symmetry: Cmcm, No. 63



> Among the records above, which one has the highest magnetic moment?

CaTeN2O



> Among the records above, which one has the highest magnetic moment?

CaTeN2O